## CsAl2CrI8 (GGA-PBE)

Data for an optimized crystal structure of CsAl2CrI8.

Cell lengths 7.4438, 7.4438, 32.5716 Å; angles 90.00, 90.00, 120.00 degrees
Space group R-3 (No. 148, hexagonal axes)
Inequivalent atoms, fractional coordinates:
Cs: 0.0000 0.0000 0.0000
Al: 0.0000 0.0000 0.2459
Cr: 0.0000 0.0000 0.5000
I: 0.0000 0.0000 0.3248
I: 0.0021 0.3425 0.1117

Results
Formation energy (no corrections) ... -0.67 eV per atom